Entry 1:
Here is crystalline VSbF5 at its relaxed geometry from Alexandria via LeMat-Bulk. Energies are from GGA+U.

Geometry as POSCAR:
```
VSbF5
1.0
-5.548 1.148 0.468
-1.858 0.544 -5.325
1.078 -7.760 1.488
F V Sb
10 2 2
Direct
0.587 0.907 0.749
0.830 0.714 0.075
0.216 0.330 0.578
0.784 0.670 0.422
0.792 0.213 0.610
0.208 0.787 0.390
0.284 0.710 0.895
0.413 0.093 0.251
0.170 0.286 0.925
0.716 0.290 0.105
0.500 0.000 0.500
0.500 0.000 0.000
0.984 0.516 0.750
0.016 0.484 0.250
```

- mass density (g cm⁻³) = 3.90
- crystal system = triclinic
- E (eV per atom) = -5.441

Entry 2:
Here is crystalline VSbF3 at its relaxed geometry from Alexandria via LeMat-Bulk. Energies are from GGA+U.

Geometry as POSCAR:
```
VSbF3
1.0
-1.925 2.333 2.975
-3.773 -0.971 -1.680
-0.243 -3.408 2.515
Sb F V
1 3 1
Direct
0.500 0.500 0.500
0.000 0.000 0.500
0.000 0.500 0.000
0.500 0.000 0.000
0.000 0.000 0.000
```

- mass density (g cm⁻³) = 5.00
- crystal system = cubic
- distance to the lowest polymorph of the same formula (meV per atom) = 0.0

Entry 3:
Here is crystalline VSb3F at its relaxed geometry from Alexandria via LeMat-Bulk. Energies are from GGA+U.

Geometry as POSCAR:
```
VSb3F
1.0
-0.772 2.981 3.788
-0.015 -3.838 3.017
4.821 0.466 0.616
F V Sb
1 1 3
Direct
0.000 0.000 0.000
0.500 0.500 0.500
0.000 0.000 0.500
0.000 0.500 0.000
0.500 0.000 0.000
```

- mass density (g cm⁻³) = 6.21
- crystal system = cubic
- distance to the lowest polymorph of the same formula (meV per atom) = 23.9